(1)
P5Se PBE relaxed; offset from the most stable computed form = 0.0000 eV per atom; total moment = 0.00 Bohr magnetons per cell; calculated volume = 153.9 Å³ per cell
1.0
5.346 -1.606 0.000
5.346 1.606 0.000
-0.118 0.000 8.966
P Se
5 1
direct
0.000 0.000 0.000
0.058 0.058 0.525
0.472 0.472 0.639
0.515 0.515 0.174
0.720 0.720 0.206
0.784 0.784 0.964

(2)
P2Se PBE relaxed; offset from the most stable computed form = 0.0112 eV per atom; total moment = 0.00 Bohr magnetons per cell; calculated volume = 174.2 Å³ per cell
1.0
6.639 -1.663 0.000
6.639 1.663 0.000
-5.980 0.000 7.891
P Se
4 2
direct
0.057 0.057 0.213
0.191 0.191 0.499
0.809 0.809 0.501
0.943 0.943 0.787
0.423 0.423 0.183
0.577 0.577 0.817

(3)
P2Se PBE relaxed; offset from the most stable computed form = 0.2192 eV per atom; total moment = 0.00 Bohr magnetons per cell; calculated volume = 149.3 Å³ per cell
1.0
5.647 -1.603 0.000
5.647 1.603 0.000
-1.892 0.000 8.250
P Se
4 2
direct
0.221 0.221 0.419
0.235 0.235 0.904
0.765 0.765 0.096
0.779 0.779 0.581
0.033 0.033 0.827
0.967 0.967 0.173

(4)
P2Se PBE relaxed; offset from the most stable computed form = 0.0102 eV per atom; total moment = 0.00 Bohr magnetons per cell; calculated volume = 190.4 Å³ per cell
1.0
7.293 0.000 0.000
0.000 3.329 0.000
-2.147 0.000 7.840
P Se
4 2
direct
0.035 0.250 0.418
0.264 0.750 0.755
0.736 0.250 0.245
0.965 0.750 0.582
0.216 0.250 0.937
0.784 0.750 0.063

Which formula does entry 2 have?
P2Se

The highest calculated volume belongs to which entry?
number 4